1.
VASP calculation (GGA-PBE) on crystalline CsYNiS3 at its relaxed geometry.

Computed properties:
The space group is Cmcm, No. 63. Its crystal system is orthorhombic.

Cell: 7.9594 7.9594 10.4983 Å, 90.00 90.00 151.08°
Positions (direct):
S1 0.0462 0.9538 0.7500
S2 0.3874 0.6126 0.9309
S3 0.6126 0.3874 0.0691
Ni1 0.4679 0.5321 0.7500
Ni2 0.5321 0.4679 0.2500
S4 0.9538 0.0462 0.2500
S5 0.3874 0.6126 0.5691
Cs1 0.2588 0.7412 0.2500
Cs2 0.7412 0.2588 0.7500
Y1 0.0000 0.0000 0.5000
S6 0.6126 0.3874 0.4309
Y2 0.0000 0.0000 0.0000

---

2.
VASP calculation (GGA-PBE) on crystalline Li6Hf4O11 at its relaxed geometry.

Computed properties:
The space group is P1, No. 1. Its crystal system is triclinic.

Cell: 10.4656 5.3536 5.3320 Å, 101.01 102.08 115.87°
Positions (direct):
Li1 0.9904 0.9795 0.5211
Hf1 0.4115 0.1840 0.0004
Li2 0.3638 0.4123 0.4996
O1 0.0024 0.5673 0.2238
O2 0.5992 0.2057 0.2654
Hf2 0.0828 0.7545 0.9424
O3 0.0139 0.3553 0.7324
O4 0.9008 0.7850 0.7765
O5 0.6939 0.0319 0.7572
Li3 0.2130 0.7765 0.4774
O6 0.4759 0.5928 0.2511
Li4 0.5128 0.0242 0.5300
O7 0.2858 0.0030 0.2446
O8 0.5217 0.4229 0.7745
Li5 0.8150 0.3211 0.4809
Hf3 0.5792 0.8285 0.0248
Hf4 0.8916 0.1423 0.9729
O9 0.1960 0.0327 0.7496
Li6 0.6473 0.5966 0.5308
O10 0.3955 0.8070 0.7534
O11 0.8024 0.9664 0.2368

---

| no. | ΔE to the lowest computed polymorph (kJ per mole of atoms) | calculated total energy (eV per atom) |
| --- | --- | --- |
| 1 | 1.6 | -5.507 |
| 2 | 4.1 | -7.812 |